Model w:
The following is a PBE calculation of an optimized crystal structure of Ca2BrCl2, from Alexandria via LeMat-Bulk.

Computed properties:
SG: I4/mmm, No. 139

Cell lengths 4.7491, 4.7491, 7.3867 Å; angles 71.25, 71.25, 90.00 degrees
Site moments in Bohr magnetons follow the coordinates.
Fractional coordinates of all 5 atoms:
Ca  0.6348  0.6348  0.7304  0.13
Ca  0.3652  0.3652  0.2696  0.13
Cl  0.7500  0.2500  0.5000  0.01
Cl  0.2500  0.7500  0.5000  0.01
Br  0.0000  0.0000  0.0000  0.03

***

Model x:
The following is a PBE calculation of an optimized crystal structure of Ca2BrCl2, from Alexandria via LeMat-Bulk.

Computed properties:
SG: P4/mbm, No. 127

Cell lengths 7.8759, 7.8759, 4.2307 Å; angles 90.00, 90.00, 90.00 degrees
Site moments in Bohr magnetons follow the coordinates.
Fractional coordinates of all 10 atoms:
Ca  0.6597  0.1597  0.0000  0.16
Ca  0.3403  0.8403  0.0000  0.17
Ca  0.1597  0.3403  0.0000  0.17
Ca  0.8403  0.6597  0.0000  0.17
Cl  0.6551  0.8449  0.5000  0.01
Cl  0.8449  0.3449  0.5000  0.01
Cl  0.1551  0.6551  0.5000  0.01
Cl  0.3449  0.1551  0.5000  0.01
Br  0.0000  0.0000  0.0000  0.00
Br  0.5000  0.5000  0.0000  0.00

***

Quick one: most stable of them? model w

***

Model w:
The following is a PBE calculation of an optimized crystal structure of CaHBrCl, from Alexandria via LeMat-Bulk.

Computed properties:
SG: P1, No. 1

Cell lengths 4.2444, 4.2473, 6.9660 Å; angles 90.47, 106.83, 119.37 degrees
Site moments in Bohr magnetons follow the coordinates.
Fractional coordinates of all 4 atoms:
Cl  0.3690  0.6909  0.1516  0.00
H  0.8196  0.6829  0.6145  0.05
Br  0.3234  0.1765  0.6117  0.06
Ca  0.8291  0.4196  0.3489  0.01

***

Model x:
The following is a PBE calculation of an optimized crystal structure of CaHBrCl, from Alexandria via LeMat-Bulk.

Computed properties:
SG: Cm, No. 8

Cell lengths 7.0865, 4.2185, 7.3118 Å; angles 90.00, 110.35, 90.00 degrees
Site moments in Bohr magnetons follow the coordinates.
Fractional coordinates of all 8 atoms:
Br  0.7050  0.5000  0.4978  0.18
Br  0.7050  0.0000  0.9978  0.18
Cl  0.2246  0.0000  0.5023  0.10
Cl  0.2246  0.5000  0.0023  0.10
Ca  0.4312  0.5000  0.7389  0.03
Ca  0.4312  0.0000  0.2389  0.03
H  0.3661  0.0000  0.8829  0.27
H  0.3661  0.5000  0.3829  0.27

***

Model y:
The following is a PBE calculation of an optimized crystal structure of CaHBrCl, from Alexandria via LeMat-Bulk.

Computed properties:
SG: Pm, No. 6

Cell lengths 4.2133, 4.5438, 5.1255 Å; angles 90.00, 113.78, 90.00 degrees
Fractional coordinates of all 4 atoms:
Cl  0.4643  0.0000  0.7868
H  0.2369  0.5000  0.3204
Br  0.7512  0.5000  0.3515
Ca  0.1619  0.0000  0.1856

***

Quick one: most stable of them? model w

***

Model w:
The following is a PBE calculation of an optimized crystal structure of NaCaBrCl2, from Alexandria via LeMat-Bulk.

Computed properties:
SG: P4/mmm, No. 123

Cell lengths 5.1131, 13.1949, 5.1131 Å; angles 90.00, 90.00, 90.00 degrees
Fractional coordinates of all 5 atoms:
Cl  0.5000  0.0000  0.0000
Cl  0.0000  0.0000  0.5000
Ca  0.0000  0.0000  0.0000
Na  0.0000  0.5000  0.0000
Br  0.5000  0.5000  0.5000

***

Model x:
The following is a PBE calculation of an optimized crystal structure of NaCaBrCl2, from Alexandria via LeMat-Bulk.

Computed properties:
SG: P2_1/m, No. 11

Cell lengths 4.5277, 7.6932, 11.1251 Å; angles 128.45, 90.00, 90.00 degrees
Fractional coordinates of all 10 atoms:
Cl  0.7500  0.3801  0.8396
Cl  0.2500  0.4170  0.6031
Cl  0.7500  0.5830  0.3969
Cl  0.2500  0.6199  0.1604
Br  0.2500  0.0238  0.8828
Br  0.7500  0.9762  0.1172
Ca  0.7500  0.3453  0.0767
Ca  0.2500  0.6547  0.9233
Na  0.7500  0.2581  0.4429
Na  0.2500  0.7419  0.5571

***

Model y:
The following is a PBE calculation of an optimized crystal structure of NaCaBrCl2, from Alexandria via LeMat-Bulk.

Computed properties:
SG: P4/mmm, No. 123

Cell lengths 5.3364, 5.3364, 5.7483 Å; angles 90.00, 90.00, 90.00 degrees
Fractional coordinates of all 5 atoms:
Cl  0.5000  0.0000  0.0000
Cl  0.0000  0.5000  0.0000
Br  0.0000  0.0000  0.5000
Ca  0.0000  0.0000  0.0000
Na  0.5000  0.5000  0.5000

***

Quick one: most stable of them? model x

***

Model w:
The following is a PBE calculation of an optimized crystal structure of NaCaBr2Cl, from Alexandria via LeMat-Bulk.

Computed properties:
SG: P4/mmm, No. 123

Cell lengths 5.7097, 5.7097, 5.3108 Å; angles 90.00, 90.00, 90.00 degrees
Fractional coordinates of all 5 atoms:
Cl  0.0000  0.0000  0.5000
Ca  0.0000  0.0000  0.0000
Br  0.0000  0.5000  0.0000
Br  0.5000  0.0000  0.0000
Na  0.5000  0.5000  0.5000

***

Model x:
The following is a PBE calculation of an optimized crystal structure of NaCaBr2Cl, from Alexandria via LeMat-Bulk.

Computed properties:
SG: Cmcm, No. 63

Cell lengths 4.1883, 7.1214, 10.1081 Å; angles 90.00, 90.00, 107.10 degrees
Fractional coordinates of all 10 atoms:
Br  0.6400  0.2800  0.5638
Br  0.3600  0.7200  0.0638
Br  0.3600  0.7200  0.4362
Br  0.6400  0.2800  0.9362
Ca  0.0000  0.0000  0.0000
Ca  0.0000  0.0000  0.5000
Na  0.7255  0.4510  0.2500
Na  0.2745  0.5490  0.7500
Cl  0.9148  0.8297  0.7500
Cl  0.0852  0.1703  0.2500

***

Quick one: most stable of them? model x

***

Model w:
The following is a PBE calculation of an optimized crystal structure of CaP2BrCl, from Alexandria via LeMat-Bulk.

Computed properties:
SG: P4/mmm, No. 123

Cell lengths 4.7255, 4.7255, 6.2178 Å; angles 90.00, 90.00, 90.00 degrees
Fractional coordinates of all 5 atoms:
Ca  0.5000  0.5000  0.5000
Cl  0.0000  0.0000  0.5000
P  0.5000  0.0000  0.0000
P  0.0000  0.5000  0.0000
Br  0.0000  0.0000  0.0000

***

Model x:
The following is a PBE calculation of an optimized crystal structure of CaP2BrCl, from Alexandria via LeMat-Bulk.

Computed properties:
SG: P4/mmm, No. 123

Cell lengths 5.6414, 5.6414, 5.0736 Å; angles 90.00, 90.00, 90.00 degrees
Site moments in Bohr magnetons follow the coordinates.
Fractional coordinates of all 5 atoms:
Br  0.5000  0.5000  0.5000  -0.04
P  0.5000  0.0000  0.0000  0.48
P  0.0000  0.5000  0.0000  0.48
Ca  0.0000  0.0000  0.0000  0.01
Cl  0.0000  0.0000  0.5000  0.06

***

Quick one: most stable of them? model w

***

Model w:
The following is a PBE calculation of an optimized crystal structure of CaCoBr3, from Alexandria via LeMat-Bulk.

Computed properties:
SG: Pm-3m, No. 221

Cell lengths 5.0526, 5.0526, 5.0526 Å; angles 90.00, 90.00, 90.00 degrees
Site moments in Bohr magnetons follow the coordinates.
Fractional coordinates of all 5 atoms:
Br  0.5000  0.0000  0.0000  0.04
Br  0.0000  0.5000  0.0000  0.04
Br  0.0000  0.0000  0.5000  0.04
Ca  0.5000  0.5000  0.5000  -0.02
Co  0.0000  0.0000  0.0000  1.79

***

Model x:
The following is a PBE calculation of an optimized crystal structure of CaCoBr3, from Alexandria via LeMat-Bulk.

Computed properties:
SG: Pm-3m, No. 221

Cell lengths 5.6060, 5.6060, 5.6060 Å; angles 90.00, 90.00, 90.00 degrees
Site moments in Bohr magnetons follow the coordinates.
Fractional coordinates of all 5 atoms:
Ca  0.0000  0.0000  0.0000  0.00
Br  0.0000  0.0000  0.5000  0.01
Br  0.5000  0.0000  0.0000  0.01
Br  0.0000  0.5000  0.0000  0.01
Co  0.5000  0.5000  0.5000  2.31

***

Quick one: most stable of them? model w

***

Model w:
The following is a PBE calculation of an optimized crystal structure of CaCoBr4, from Alexandria via LeMat-Bulk.

Computed properties:
SG: Cmcm, No. 63

Cell lengths 6.8495, 6.8495, 8.9508 Å; angles 90.00, 90.00, 110.11 degrees
Site moments in Bohr magnetons follow the coordinates.
Fractional coordinates of all 12 atoms:
Br  0.2556  0.7444  0.0201  0.10
Br  0.7424  0.7580  0.2500  0.07
Br  0.7580  0.7424  0.7500  0.07
Br  0.2420  0.2576  0.2500  0.07
Br  0.2556  0.7444  0.4799  0.10
Br  0.7444  0.2556  0.9799  0.10
Br  0.7444  0.2556  0.5201  0.10
Br  0.2576  0.2420  0.7500  0.07
Co  0.3600  0.6400  0.2500  2.40
Co  0.6400  0.3600  0.7500  2.40
Ca  0.0000  0.0000  0.0000  0.01
Ca  0.0000  0.0000  0.5000  0.01

***

Model x:
The following is a PBE calculation of an optimized crystal structure of CaCoBr4, from Alexandria via LeMat-Bulk.

Computed properties:
SG: F-43m, No. 216

Cell lengths 6.3614, 6.3614, 6.3614 Å; angles 60.00, 60.00, 60.00 degrees
Site moments in Bohr magnetons follow the coordinates.
Fractional coordinates of all 6 atoms:
Br  0.8760  0.3747  0.3747  0.37
Br  0.3747  0.8760  0.3747  0.37
Br  0.3747  0.3747  0.8760  0.37
Br  0.3747  0.3747  0.3747  0.37
Ca  0.7500  0.7500  0.7500  0.01
Co  0.0000  0.0000  0.0000  2.29

***

Quick one: most stable of them? model w

***

Model w:
The following is a PBE calculation of an optimized crystal structure of CaCoSe2Br, from Alexandria via LeMat-Bulk.

Computed properties:
SG: P4/mmm, No. 123

Cell lengths 4.7550, 4.7550, 5.1079 Å; angles 90.00, 90.00, 90.00 degrees
Site moments in Bohr magnetons follow the coordinates.
Fractional coordinates of all 5 atoms:
Se  0.0000  0.5000  0.0000  0.10
Se  0.5000  0.0000  0.0000  0.10
Co  0.0000  0.0000  0.0000  1.19
Br  0.0000  0.0000  0.5000  0.02
Ca  0.5000  0.5000  0.5000  0.01

***

Model x:
The following is a PBE calculation of an optimized crystal structure of CaCoSe2Br, from Alexandria via LeMat-Bulk.

Computed properties:
SG: P4/mmm, No. 123

Cell lengths 5.4950, 5.4950, 5.4353 Å; angles 90.00, 90.00, 90.00 degrees
Site moments in Bohr magnetons follow the coordinates.
Fractional coordinates of all 5 atoms:
Ca  0.0000  0.0000  0.0000  0.00
Se  0.5000  0.0000  0.0000  0.23
Se  0.0000  0.5000  0.0000  0.23
Co  0.5000  0.5000  0.5000  2.29
Br  0.0000  0.0000  0.5000  0.11

***

Quick one: most stable of them? model w

***

Model w:
The following is a PBE calculation of an optimized crystal structure of Ca2CrBr, from Alexandria via LeMat-Bulk.

Computed properties:
SG: Pmmm, No. 47

Cell lengths 3.8436, 5.0114, 6.3418 Å; angles 90.00, 90.00, 90.00 degrees
Site moments in Bohr magnetons follow the coordinates.
Fractional coordinates of all 4 atoms:
Ca  0.0000  0.0000  0.8750  0.01
Ca  0.5000  0.5000  0.3750  0.04
Br  0.5000  0.5000  0.8751  0.02
Cr  0.0000  0.0000  0.3749  3.99

***

Model x:
The following is a PBE calculation of an optimized crystal structure of Ca2CrBr, from Alexandria via LeMat-Bulk.

Computed properties:
SG: Immm, No. 71

Cell lengths 6.2271, 6.2271, 6.2271 Å; angles 142.50, 118.11, 74.66 degrees
Site moments in Bohr magnetons follow the coordinates.
Fractional coordinates of all 4 atoms:
Ca  0.0290  0.0290  0.0000  0.02
Ca  0.4710  0.4710  0.0000  0.02
Cr  0.7500  0.2500  0.5000  4.12
Br  0.2500  0.7500  0.5000  0.02

***

Quick one: most stable of them? model w